[1]
# CuHg2Cl

A relaxed structure of CuHg2Cl (PBE, the Alexandria database).

a = 5.734 Å, b = 5.734 Å, c = 5.734 Å
α = 145.11°, β = 109.91°, γ = 80.75°
Element x y z (fractional)
Cu  0.000  0.000  0.000
Hg  0.228  0.728  0.500
Hg  0.772  0.272  0.500
Cl  0.500  0.500  0.000

Values from the calculation:
* polymorph energy (0 for the lowest one): 0.67 eV/f.u.


[2]
# Cu3Hg4Cl12

A relaxed structure of Cu3Hg4Cl12 (PBE, the Alexandria database).

a = 8.616 Å, b = 8.616 Å, c = 8.616 Å
α = 109.47°, β = 109.47°, γ = 109.47°
Element x y z (fractional)
Cu  0.000  0.500  0.500
Cu  0.500  0.000  0.500
Cu  0.500  0.500  0.000
Hg  0.000  0.000  0.500
Hg  0.000  0.500  0.000
Hg  0.500  0.000  0.000
Hg  0.500  0.500  0.500
Cl  0.163  0.834  0.330
Cl  0.166  0.330  0.496
Cl  0.166  0.670  0.837
Cl  0.330  0.163  0.834
Cl  0.330  0.496  0.166
Cl  0.496  0.166  0.330
Cl  0.504  0.834  0.670
Cl  0.670  0.504  0.834
Cl  0.670  0.837  0.166
Cl  0.834  0.330  0.163
Cl  0.834  0.670  0.504
Cl  0.837  0.166  0.670

Values from the calculation:
* energy: -44.4 eV per cell


[3]
# Cu2HgCl

A relaxed structure of Cu2HgCl (PBE, the Alexandria database).

a = 7.873 Å, b = 7.873 Å, c = 7.873 Å
α = 23.73°, β = 23.73°, γ = 23.73°
Element x y z (fractional)
Cu  0.244  0.244  0.244
Cu  0.756  0.756  0.756
Hg  0.000  0.000  0.000
Cl  0.500  0.500  0.500

Values from the calculation:
* polymorph energy (0 for the lowest one): 0.77 eV/f.u.


[4]
# CuHg2Cl

A relaxed structure of CuHg2Cl (PBE, the Alexandria database).

a = 5.305 Å, b = 3.589 Å, c = 6.086 Å
α = 90.00°, β = 108.98°, γ = 90.00°
Element x y z (fractional)
Cu  0.000  0.000  0.000
Hg  0.234  0.500  0.786
Hg  0.603  0.000  0.580
Cl  0.909  0.500  0.193

Values from the calculation:
* polymorph energy (0 for the lowest one): 0.01 eV/f.u.


[5]
# Cu2HgCl

A relaxed structure of Cu2HgCl (PBE, the Alexandria database).

a = 5.367 Å, b = 5.367 Å, c = 5.367 Å
α = 146.82°, β = 107.79°, γ = 81.81°
Element x y z (fractional)
Cu  0.233  0.233  0.000
Cu  0.767  0.767  0.000
Hg  0.500  0.000  0.500
Cl  0.000  0.500  0.500

Values from the calculation:
* polymorph energy (0 for the lowest one): 0.95 eV/f.u.


[6]
# CuHgCl

A relaxed structure of CuHgCl (PBE, the Alexandria database).

a = 4.600 Å, b = 4.600 Å, c = 4.600 Å
α = 60.00°, β = 60.00°, γ = 60.00°
Element x y z (fractional)
Cu  0.000  0.000  0.000
Hg  0.750  0.750  0.750
Cl  0.250  0.250  0.250

Values from the calculation:
* polymorph energy (0 for the lowest one): 0.85 eV/f.u.


[7]
# CuHg2Cl

A relaxed structure of CuHg2Cl (PBE, the Alexandria database).

a = 3.247 Å, b = 3.247 Å, c = 7.814 Å
α = 90.00°, β = 90.00°, γ = 90.00°
Element x y z (fractional)
Cu  0.000  0.000  0.000
Hg  0.500  0.500  0.222
Hg  0.500  0.500  0.778
Cl  0.000  0.000  0.500

Values from the calculation:
* polymorph energy (0 for the lowest one): 0.83 eV/f.u.


[8]
# CuHg4Cl2

A relaxed structure of CuHg4Cl2 (PBE, the Alexandria database).

a = 8.528 Å, b = 8.528 Å, c = 8.528 Å
α = 144.46°, β = 144.46°, γ = 51.14°
Element x y z (fractional)
Cu  0.000  0.000  0.000
Hg  0.000  0.500  0.500
Hg  0.162  0.162  0.000
Hg  0.500  0.000  0.500
Hg  0.838  0.838  0.000
Cl  0.323  0.323  0.000
Cl  0.677  0.677  0.000

Values from the calculation:
* energy: -10.6 eV per cell


[9]
# CuHg2Cl

A relaxed structure of CuHg2Cl (PBE, the Alexandria database).

a = 3.193 Å, b = 3.193 Å, c = 9.054 Å
α = 90.00°, β = 90.00°, γ = 90.00°
Element x y z (fractional)
Cu  0.000  0.000  0.000
Hg  0.000  0.000  0.523
Hg  0.500  0.500  0.210
Cl  0.500  0.500  0.866

Values from the calculation:
* polymorph energy (0 for the lowest one): 0.49 eV/f.u.


[10]
# Cu2Hg2Cl7

A relaxed structure of Cu2Hg2Cl7 (PBE, the Alexandria database).

a = 7.157 Å, b = 7.157 Å, c = 6.810 Å
α = 106.53°, β = 106.53°, γ = 94.46°
Element x y z (fractional)
Cu  0.186  0.186  0.393
Cu  0.814  0.814  0.607
Hg  0.309  0.691  0.000
Hg  0.691  0.309  0.000
Cl  0.000  0.000  0.500
Cl  0.055  0.397  0.216
Cl  0.397  0.055  0.216
Cl  0.421  0.421  0.716
Cl  0.579  0.579  0.284
Cl  0.603  0.945  0.784
Cl  0.945  0.603  0.784

Values from the calculation:
* polymorph energy (0 for the lowest one): 0.22 eV/f.u.


[11]
# CuHg2Cl5

A relaxed structure of CuHg2Cl5 (PBE, the Alexandria database).

a = 7.064 Å, b = 7.064 Å, c = 12.265 Å
α = 90.00°, β = 90.00°, γ = 133.80°
Element x y z (fractional)
Cu  0.216  0.784  0.750
Cu  0.784  0.216  0.250
Hg  0.136  0.864  0.076
Hg  0.136  0.864  0.424
Hg  0.864  0.136  0.576
Hg  0.864  0.136  0.924
Cl  0.073  0.927  0.622
Cl  0.073  0.927  0.878
Cl  0.252  0.748  0.250
Cl  0.331  0.669  0.596
Cl  0.331  0.669  0.904
Cl  0.669  0.331  0.096
Cl  0.669  0.331  0.404
Cl  0.748  0.252  0.750
Cl  0.927  0.073  0.122
Cl  0.927  0.073  0.378

Values from the calculation:
* polymorph energy (0 for the lowest one): 0.49 eV/f.u.


[12]
# Cu2HgCl4

A relaxed structure of Cu2HgCl4 (PBE, the Alexandria database).

a = 7.073 Å, b = 7.073 Å, c = 7.073 Å
α = 135.65°, β = 135.65°, γ = 64.52°
Element x y z (fractional)
Cu  0.100  0.100  0.000
Cu  0.900  0.900  0.000
Hg  0.500  0.500  0.000
Cl  0.000  0.500  0.500
Cl  0.281  0.281  0.000
Cl  0.500  0.000  0.500
Cl  0.719  0.719  0.000

Values from the calculation:
* energy: -17.2 eV per cell


[13]
# Cu2HgCl

A relaxed structure of Cu2HgCl (PBE, the Alexandria database).

a = 4.645 Å, b = 6.069 Å, c = 6.069 Å
α = 29.75°, β = 90.00°, γ = 90.00°
Element x y z (fractional)
Cu  0.000  0.000  0.000
Cu  0.000  0.337  0.337
Hg  0.500  0.455  0.455
Cl  0.000  0.686  0.686

Values from the calculation:
* polymorph energy (0 for the lowest one): 0.23 eV/f.u.


[14]
# CuHgCl

A relaxed structure of CuHgCl (PBE, the Alexandria database).

a = 6.564 Å, b = 6.564 Å, c = 6.564 Å
α = 151.77°, β = 151.77°, γ = 40.35°
Element x y z (fractional)
Cu  0.000  0.000  0.000
Hg  0.345  0.345  0.000
Cl  0.598  0.598  0.000

Values from the calculation:
* polymorph energy (0 for the lowest one): 0.56 eV/f.u.


[15]
# CuHg2Cl4

A relaxed structure of CuHg2Cl4 (PBE, the Alexandria database).

a = 7.255 Å, b = 7.255 Å, c = 7.255 Å
α = 136.37°, β = 136.37°, γ = 63.41°
Element x y z (fractional)
Cu  0.000  0.000  0.000
Hg  0.388  0.388  0.000
Hg  0.612  0.612  0.000
Cl  0.000  0.500  0.500
Cl  0.189  0.189  0.000
Cl  0.500  0.000  0.500
Cl  0.811  0.811  0.000

Values from the calculation:
* energy: -14.6 eV per cell


[16]
# Cu2HgCl

A relaxed structure of Cu2HgCl (PBE, the Alexandria database).

a = 3.426 Å, b = 3.426 Å, c = 6.219 Å
α = 90.00°, β = 90.00°, γ = 90.00°
Element x y z (fractional)
Cu  0.000  0.000  0.204
Cu  0.000  0.000  0.796
Hg  0.500  0.500  0.000
Cl  0.500  0.500  0.500

Values from the calculation:
* polymorph energy (0 for the lowest one): 1.15 eV/f.u.


[17]
# Cu5Hg12Cl3

A relaxed structure of Cu5Hg12Cl3 (PBE, the Alexandria database).

a = 14.401 Å, b = 14.401 Å, c = 14.401 Å
α = 109.47°, β = 109.47°, γ = 109.47°
Element x y z (fractional)
Cu  0.000  0.000  0.000
Cu  0.000  0.000  0.500
Cu  0.000  0.500  0.000
Cu  0.000  0.500  0.500
Cu  0.125  0.750  0.875
Cu  0.125  0.875  0.250
Cu  0.250  0.125  0.875
Cu  0.250  0.625  0.375
Cu  0.375  0.250  0.625
Cu  0.375  0.625  0.750
Cu  0.500  0.000  0.000
Cu  0.500  0.000  0.500
Cu  0.500  0.500  0.000
Cu  0.500  0.500  0.500
Cu  0.625  0.375  0.250
Cu  0.625  0.750  0.375
Cu  0.750  0.375  0.625
Cu  0.750  0.875  0.125
Cu  0.875  0.125  0.750
Cu  0.875  0.250  0.125
Hg  0.027  0.205  0.101
Hg  0.027  0.322  0.927
Hg  0.073  0.601  0.396
Hg  0.073  0.973  0.678
Hg  0.101  0.027  0.205
Hg  0.101  0.573  0.896
Hg  0.104  0.705  0.678
Hg  0.104  0.899  0.427
Hg  0.178  0.205  0.604
Hg  0.178  0.473  0.573
Hg  0.205  0.101  0.027
Hg  0.205  0.604  0.178
Hg  0.295  0.322  0.896
Hg  0.295  0.473  0.399
Hg  0.322  0.896  0.295
Hg  0.322  0.927  0.027
Hg  0.396  0.073  0.601
Hg  0.396  0.822  0.795
Hg  0.399  0.295  0.473
Hg  0.399  0.604  0.927
Hg  0.427  0.104  0.899
Hg  0.427  0.822  0.527
Hg  0.473  0.399  0.295
Hg  0.473  0.573  0.178
Hg  0.527  0.427  0.822
Hg  0.527  0.601  0.705
Hg  0.573  0.178  0.473
Hg  0.573  0.896  0.101
Hg  0.601  0.396  0.073
Hg  0.601  0.705  0.527
Hg  0.604  0.178  0.205
Hg  0.604  0.927  0.399
Hg  0.678  0.073  0.973
Hg  0.678  0.104  0.705
Hg  0.705  0.527  0.601
Hg  0.705  0.678  0.104
Hg  0.795  0.396  0.822
Hg  0.795  0.899  0.973
Hg  0.822  0.527  0.427
Hg  0.822  0.795  0.396
Hg  0.896  0.101  0.573
Hg  0.896  0.295  0.322
Hg  0.899  0.427  0.104
Hg  0.899  0.973  0.795
Hg  0.927  0.027  0.322
Hg  0.927  0.399  0.604
Hg  0.973  0.678  0.073
Hg  0.973  0.795  0.899
Cl  0.125  0.250  0.375
Cl  0.125  0.375  0.750
Cl  0.250  0.375  0.125
Cl  0.250  0.875  0.625
Cl  0.375  0.125  0.250
Cl  0.375  0.750  0.125
Cl  0.625  0.250  0.875
Cl  0.625  0.875  0.750
Cl  0.750  0.125  0.375
Cl  0.750  0.625  0.875
Cl  0.875  0.625  0.250
Cl  0.875  0.750  0.625

Values from the calculation:
* energy: -112.4 eV per cell


[18]
# Cu2HgCl

A relaxed structure of Cu2HgCl (PBE, the Alexandria database).

a = 3.291 Å, b = 4.421 Å, c = 5.875 Å
α = 90.00°, β = 90.00°, γ = 90.00°
Element x y z (fractional)
Cu  0.000  0.000  0.000
Cu  0.500  0.000  0.321
Hg  0.000  0.500  0.255
Cl  0.500  0.000  0.718

Values from the calculation:
* polymorph energy (0 for the lowest one): 0.00 eV/f.u.


[19]
# CuHg2Cl5

A relaxed structure of CuHg2Cl5 (PBE, the Alexandria database).

a = 9.821 Å, b = 9.821 Å, c = 12.512 Å
α = 107.42°, β = 107.42°, γ = 60.12°
Element x y z (fractional)
Cu  0.088  0.268  0.312
Cu  0.268  0.088  0.812
Cu  0.732  0.912  0.188
Cu  0.912  0.732  0.688
Hg  0.082  0.751  0.473
Hg  0.175  0.527  0.124
Hg  0.249  0.918  0.027
Hg  0.473  0.825  0.376
Hg  0.527  0.175  0.624
Hg  0.751  0.082  0.973
Hg  0.825  0.473  0.876
Hg  0.918  0.249  0.527
Cl  0.065  0.071  0.159
Cl  0.071  0.065  0.659
Cl  0.127  0.465  0.284
Cl  0.142  0.275  0.959
Cl  0.152  0.610  0.623
Cl  0.275  0.142  0.459
Cl  0.331  0.607  0.063
Cl  0.390  0.848  0.877
Cl  0.393  0.669  0.437
Cl  0.465  0.127  0.784
Cl  0.535  0.873  0.216
Cl  0.607  0.331  0.563
Cl  0.610  0.152  0.123
Cl  0.669  0.393  0.937
Cl  0.725  0.858  0.541
Cl  0.848  0.390  0.377
Cl  0.858  0.725  0.041
Cl  0.873  0.535  0.716
Cl  0.929  0.935  0.341
Cl  0.935  0.929  0.841

Values from the calculation:
* polymorph energy (0 for the lowest one): 0.00 eV/f.u.


[20]
# Cu2HgCl

A relaxed structure of Cu2HgCl (PBE, the Alexandria database).

a = 4.762 Å, b = 4.762 Å, c = 3.082 Å
α = 90.00°, β = 90.00°, γ = 101.00°
Element x y z (fractional)
Cu  0.000  0.500  0.000
Cu  0.500  0.000  0.000
Hg  0.000  0.000  0.500
Cl  0.500  0.500  0.500

Values from the calculation:
* polymorph energy (0 for the lowest one): 1.47 eV/f.u.